Entry from Alexandria via LeMat-Bulk: Ce2Sb3Au after structural relaxation (GGA-PBE).

Properties
ΔE_f (raw)   -0.522 eV/atom

Structure (POSCAR):
```
Ce2Sb3Au
1.0
-1.957 -3.888 -1.378
1.487 -2.732 5.596
-5.059 5.156 0.199
Ce Sb Au
2 3 1
Direct
0.679 0.179 0.357
0.321 0.821 0.643
0.000 0.000 0.000
0.647 0.647 0.295
0.353 0.353 0.705
0.000 0.500 0.000
```


Entry from Alexandria via LeMat-Bulk: CeSb2Au after structural relaxation (GGA-PBE).

Properties
ΔE_f (raw)   -0.087 eV/atom

Structure (POSCAR):
```
CeSb2Au
1.0
-0.934 -3.560 -3.089
3.118 -1.012 -3.514
4.514 -6.735 2.659
Sb Au Ce
2 1 1
Direct
0.107 0.107 0.678
0.893 0.893 0.322
0.000 0.000 0.000
0.500 0.500 0.500
```


Entry from Alexandria via LeMat-Bulk: CeSbAu4 after structural relaxation (GGA-PBE).

Properties
Excess energy over the best structure of this formula in the dataset   39.4 meV per atom
ΔE_f (raw)   -0.339 eV/atom

Structure (POSCAR):
```
CeSbAu4
1.0
-2.747 -2.327 -1.655
2.889 -8.004 6.458
-8.957 4.106 9.096
Au Ce Sb
16 4 4
Direct
0.500 0.283 0.243
0.500 0.871 0.454
0.500 0.032 0.279
0.500 0.783 0.257
0.500 0.968 0.721
0.500 0.091 0.927
0.500 0.629 0.954
0.500 0.468 0.779
0.500 0.591 0.573
0.500 0.409 0.427
0.500 0.909 0.073
0.500 0.717 0.757
0.500 0.217 0.743
0.500 0.129 0.546
0.500 0.532 0.221
0.500 0.371 0.046
0.000 0.862 0.889
0.000 0.138 0.111
0.000 0.638 0.389
0.000 0.362 0.611
0.000 0.815 0.602
0.000 0.685 0.102
0.000 0.185 0.398
0.000 0.315 0.898
```


Entry from Alexandria via LeMat-Bulk: Ce2SbAu3 after structural relaxation (GGA-PBE).

Properties
Excess energy over the best structure of this formula in the dataset   27.3 meV per atom
ΔE_f (raw)   -0.713 eV/atom

Structure (POSCAR):
```
Ce2SbAu3
1.0
3.637 0.000 0.000
0.000 4.751 0.000
0.000 0.000 8.399
Au Ce Sb
3 2 1
Direct
0.500 0.500 0.835
0.500 0.500 0.162
0.500 0.000 0.668
0.000 0.500 0.517
0.000 0.000 0.985
0.500 0.000 0.333
```


Entry from Alexandria via LeMat-Bulk: Ce5Sb2Au after structural relaxation (GGA-PBE).

Properties
ΔE_f (raw)   -0.357 eV/atom

Structure (POSCAR):
```
Ce5Sb2Au
1.0
5.306 0.000 0.000
-2.653 5.550 0.000
0.000 0.000 14.959
Sb Ce Au
4 10 2
Direct
0.190 0.379 0.862
0.810 0.621 0.362
0.810 0.621 0.138
0.190 0.379 0.638
0.614 0.227 0.519
0.614 0.227 0.981
0.536 0.072 0.250
0.386 0.773 0.481
0.921 0.841 0.933
0.079 0.159 0.067
0.386 0.773 0.019
0.921 0.841 0.567
0.464 0.928 0.750
0.079 0.159 0.433
0.799 0.598 0.750
0.201 0.402 0.250
```


Entry from Alexandria via LeMat-Bulk: CeSbAu4 after structural relaxation (GGA-PBE).

Properties
Excess energy over the best structure of this formula in the dataset   0.0 meV per atom
ΔE_f (raw)   -0.379 eV/atom

Structure (POSCAR):
```
CeSbAu4
1.0
5.704 0.000 0.000
2.852 4.940 0.000
2.852 1.647 4.657
Au Sb Ce
4 1 1
Direct
0.625 0.625 0.125
0.125 0.625 0.625
0.625 0.625 0.625
0.625 0.125 0.625
0.000 0.000 0.000
0.250 0.250 0.250
```